The following is a PBE-GGA calculation of a geometry-optimized ScCrSnBi2 structure, from Alexandria.

```
ScCrSnBi2
1.0
5.575 0.000 0.000
0.000 5.167 0.000
0.000 0.000 5.575
Cr Bi Sn Sc
1 2 1 1
Cartesian
0.000 2.583 0.000
2.788 0.000 0.000
0.000 0.000 2.788
2.788 2.583 2.788
0.000 0.000 0.000
```

Properties
Formation enthalpy at 0 K ... 0.683 eV/atom
Volume ... 160.60 Å³ per cell
Energy above the lowest structure with this stoichiometry ... 0.000 eV per atom



The following is a PBE-GGA calculation of a geometry-optimized CdNiSb structure, from Alexandria.

```
CdNiSb
1.0
4.282 0.000 0.000
-2.141 3.708 0.000
0.000 0.000 3.935
Cd Sb Ni
1 1 1
Cartesian
0.000 0.000 0.102
0.000 2.472 2.039
2.141 1.236 1.794
```

Properties
Volume ... 62.48 Å³ per cell
Formation energy without anion corrections ... 2.44 kcal/mol of atoms



The following is a PBE-GGA calculation of a geometry-optimized CdRh5 structure, from Alexandria.

```
CdRh5
1.0
0.253 -4.622 -2.253
-4.005 -1.765 -2.710
0.315 -0.351 -5.126
Rh Cd
5 1
Cartesian
-1.164 -4.836 -4.910
-2.578 -5.054 -7.566
-1.133 -2.704 -6.344
-3.289 -3.409 -5.138
-1.290 -2.528 -3.785
0.000 0.000 0.000
```

Properties
Formation enthalpy at 0 K ... 0.285 eV/atom
Volume ... 96.47 Å³ per cell